Entry from Alexandria: a relaxed ErTh5S6 crystal (PBE).

Computed properties:
total magnetization = 0.000 μB/cell
mass density = 9.2 Mg/m³
formation energy without anion corrections = -1.852 eV per atom
density of states at the Fermi level = 7.1 states/eV/cell

abc: 6.9488 6.9488 6.9549
angles: 99.58 99.58 119.84
Fractional coordinates of all 12 atoms:
Er 0.0000 0.0000 0.0000
Th 0.1707 0.8293 0.5000
Th 0.3336 0.6664 0.0000
Th 0.5000 0.5000 0.5000
Th 0.6664 0.3336 0.0000
Th 0.8293 0.1707 0.5000
S 0.0801 0.4031 0.2412
S 0.2405 0.2405 0.7527
S 0.4031 0.0801 0.2412
S 0.5969 0.9199 0.7588
S 0.7595 0.7595 0.2473
S 0.9199 0.5969 0.7588